SCAN HfCuAuBr2, single point on PBEsol structure; space-group type = P4/mmm, No. 123; electronic total energy = -181.034 eV/cell
1.0
5.095 0.000 0.000
0.000 5.095 0.000
0.000 0.000 4.797
Hf Cu Au Br
1 1 1 2
Cartesian
0.000 0.000 0.000
2.548 2.548 0.000
2.548 2.548 2.399
0.000 2.548 2.399
2.548 0.000 2.399